Material: InTcTe3
Method: DFT, GGA-PBE
State: relaxed

Lattice parameters (Å, degrees): 5.3121 5.3121 5.3121 90.00 90.00 90.00
Last column: nearest neighbours and their distance in Å.
Sites, in units of the cell vectors:
In 0.0000 0.0000 0.0000  12 Te 3.76
Tc 0.5000 0.5000 0.5000  6 Te 2.66
Te 0.0000 0.5000 0.5000  2 Tc 2.66
Te 0.5000 0.0000 0.5000  2 Tc 2.66
Te 0.5000 0.5000 0.0000  2 Tc 2.66

Calculated values
* formation energy (no corrections): 337 meV per atom
* E: -20.85 eV/cell
* DOS at the Fermi energy: 5.91 states/eV/cell
* symmetry: Pm-3m
* distance to the lowest polymorph of the same formula: 0 meV per atom
* spin magnetization: 0.0 μB/cell